Entry 1:
# CeSm8Er2

A geometry-optimized CeSm8Er2 structure (PBE-GGA, the Alexandria database).

* ΔE to the lowest computed polymorph: 136 meV/atom
* density: 7.32 g cm⁻³
* symmetry: C2/m
* V: 34.60 Å³/atom

Unit cell a=10.269 b=10.269 c=5.642 alpha=92.93 beta=92.93 gamma=39.84
Fractional positions:
Ce 0.000 0.000 0.000
Sm 0.135 0.600 0.267
Sm 0.187 0.187 0.232
Sm 0.400 0.865 0.733
Sm 0.455 0.455 0.762
Sm 0.545 0.545 0.238
Sm 0.600 0.135 0.267
Sm 0.813 0.813 0.768
Sm 0.865 0.400 0.733
Er 0.284 0.284 0.746
Er 0.716 0.716 0.254

***

Entry 2:
# Ce2SmEr

A geometry-optimized Ce2SmEr structure (PBE-GGA, the Alexandria database).

* ΔE to the lowest computed polymorph: 139 meV/atom
* density: 8.22 g cm⁻³
* symmetry: R-3m
* V: 30.20 Å³/atom

Unit cell a=12.499 b=12.499 c=12.499 alpha=15.46 beta=15.46 gamma=15.46
Fractional positions:
Ce 0.085 0.085 0.085
Ce 0.915 0.915 0.915
Sm 0.500 0.500 0.500
Er 0.000 0.000 0.000

***

Entry 3:
# CeSm5Er

A geometry-optimized CeSm5Er structure (PBE-GGA, the Alexandria database).

* density: 7.47 g cm⁻³
* symmetry: P2/m
* V: 33.63 Å³/atom
* calculated total energy: -0.173 hartree per atom

Unit cell a=3.578 b=8.106 c=8.116 alpha=90.00 beta=90.14 gamma=90.00
Fractional positions:
Ce 0.000 0.000 0.000
Sm 0.000 0.000 0.500
Sm 0.499 0.281 0.214
Sm 0.499 0.719 0.214
Sm 0.501 0.281 0.786
Sm 0.501 0.719 0.786
Er 0.000 0.500 0.500

***

Entry 4:
# CeSm8Er6

A geometry-optimized CeSm8Er6 structure (PBE-GGA, the Alexandria database).

* density: 7.97 g cm⁻³
* symmetry: R-3
* V: 32.57 Å³/atom
* calculated total energy: -0.169 hartree per atom

Unit cell a=8.662 b=8.662 c=8.662 alpha=62.84 beta=62.84 gamma=62.84
Fractional positions:
Ce 0.000 0.000 0.000
Sm 0.114 0.756 0.716
Sm 0.244 0.284 0.886
Sm 0.284 0.886 0.244
Sm 0.422 0.422 0.422
Sm 0.578 0.578 0.578
Sm 0.716 0.114 0.756
Sm 0.756 0.716 0.114
Sm 0.886 0.244 0.284
Er 0.098 0.244 0.538
Er 0.244 0.538 0.098
Er 0.462 0.902 0.756
Er 0.538 0.098 0.244
Er 0.756 0.462 0.902
Er 0.902 0.756 0.462

***

Entry 5:
# CeSm2Er5

A geometry-optimized CeSm2Er5 structure (PBE-GGA, the Alexandria database).

* ΔE to the lowest computed polymorph: 0 meV/atom
* density: 8.45 g cm⁻³
* symmetry: Pbam
* V: 31.36 Å³/atom

Unit cell a=7.073 b=14.157 c=5.011 alpha=90.00 beta=90.00 gamma=90.00
Fractional positions:
Ce 0.000 0.000 0.000
Ce 0.500 0.500 0.000
Sm 0.249 0.124 0.500
Sm 0.251 0.624 0.500
Sm 0.749 0.376 0.500
Sm 0.751 0.876 0.500
Er 0.000 0.500 0.000
Er 0.004 0.250 0.000
Er 0.244 0.876 0.500
Er 0.256 0.376 0.500
Er 0.496 0.750 0.000
Er 0.500 0.000 0.000
Er 0.504 0.250 0.000
Er 0.744 0.624 0.500
Er 0.756 0.124 0.500
Er 0.996 0.750 0.000

***

Entry 6:
# CeSm2Er

A geometry-optimized CeSm2Er structure (PBE-GGA, the Alexandria database).

* ΔE to the lowest computed polymorph: 117 meV/atom
* density: 7.93 g cm⁻³
* symmetry: R-3m
* V: 31.82 Å³/atom

Unit cell a=12.566 b=12.566 c=12.566 alpha=15.74 beta=15.74 gamma=15.74
Fractional positions:
Ce 0.000 0.000 0.000
Sm 0.089 0.089 0.089
Sm 0.911 0.911 0.911
Er 0.500 0.500 0.500